Material: AcPm8Nd2
Method: DFT, PBE-GGA
State: relaxed

```
data_AcPm8Nd2
_chemical_formula_sum 'Ac1 Pm8 Nd2'
_cell_length_a 5.6593
_cell_length_b 8.5351
_cell_length_c 9.6456
_cell_angle_alpha 116.25
_cell_angle_beta 107.06
_cell_angle_gamma 90.00
_symmetry_space_group_name_H-M 'P 1'
_symmetry_Int_Tables_number 1
loop_
_symmetry_equiv_pos_as_xyz
'x,y,z'
loop_
_atom_site_label
_atom_site_fract_x
_atom_site_fract_y
_atom_site_fract_z
Nd1 0.7996 0.2998 0.5993
Nd2 0.2004 0.7002 0.4007
Pm1 0.3561 0.5593 0.7123
Pm2 0.0000 0.7034 0.0001
Pm3 0.6440 0.8472 0.2880
Pm4 0.8413 0.8412 0.6827
Pm5 0.1587 0.1588 0.3173
Pm6 0.6439 0.4407 0.2877
Pm7 0.0000 0.2966 0.9999
Pm8 0.3560 0.1528 0.7120
Ac1 0.5000 0.0000 0.0000
```

- SG: Immm (71)
- Energy above the most stable polymorph in this dataset: 0.000 eV per atom

=====

Material: Ac2Pm8Nd3
Method: DFT, PBE-GGA
State: relaxed

```
data_Ac2Pm8Nd3
_chemical_formula_sum 'Ac2 Pm8 Nd3'
_cell_length_a 6.3591
_cell_length_b 9.0493
_cell_length_c 9.0493
_cell_angle_alpha 83.43
_cell_angle_beta 72.89
_cell_angle_gamma 72.89
_symmetry_space_group_name_H-M 'P 1'
_symmetry_Int_Tables_number 1
loop_
_symmetry_equiv_pos_as_xyz
'x,y,z'
loop_
_atom_site_label
_atom_site_fract_x
_atom_site_fract_y
_atom_site_fract_z
Pm1 0.2252 0.5683 0.5683
Pm2 0.3196 0.9164 0.4256
Pm3 0.0385 0.8474 0.8474
Pm4 0.6804 0.0836 0.5744
Pm5 0.6804 0.5744 0.0836
Pm6 0.3196 0.4256 0.9164
Pm7 0.7748 0.4317 0.4317
Pm8 0.9615 0.1526 0.1526
Nd1 0.5000 0.0000 0.0000
Nd2 0.0000 0.2435 0.7565
Nd3 0.0000 0.7565 0.2435
Ac1 0.6437 0.7029 0.7029
Ac2 0.3563 0.2971 0.2971
```

- SG: C2/m (12)
- Energy above the most stable polymorph in this dataset: 0.000 eV per atom

=====

Material: Ac4Pm6Nd
Method: DFT, PBE-GGA
State: relaxed

```
data_Ac4Pm6Nd
_chemical_formula_sum 'Ac4 Pm6 Nd1'
_cell_length_a 9.7573
_cell_length_b 9.7573
_cell_length_c 9.7573
_cell_angle_alpha 63.13
_cell_angle_beta 136.55
_cell_angle_gamma 136.55
_symmetry_space_group_name_H-M 'P 1'
_symmetry_Int_Tables_number 1
loop_
_symmetry_equiv_pos_as_xyz
'x,y,z'
loop_
_atom_site_label
_atom_site_fract_x
_atom_site_fract_y
_atom_site_fract_z
Pm1 0.5000 0.0000 0.5000
Pm2 0.0000 0.4344 0.7679
Pm3 0.5000 0.5000 0.0000
Pm4 0.0000 0.7679 0.4344
Pm5 0.6665 0.2321 0.2321
Pm6 0.3335 0.5656 0.5656
Ac1 0.0000 0.6246 0.0148
Ac2 0.0000 0.0148 0.6246
Ac3 0.3902 0.3754 0.3754
Ac4 0.6098 0.9852 0.9852
Nd1 0.0000 0.0000 0.0000
```

- SG: I-42m (121)

=====

Material: Ac12PmNd3
Method: DFT, PBE-GGA
State: relaxed

```
data_Ac12PmNd3
_chemical_formula_sum 'Ac12 Pm1 Nd3'
_cell_length_a 5.5398
_cell_length_b 5.5398
_cell_length_c 22.0716
_cell_angle_alpha 90.00
_cell_angle_beta 90.00
_cell_angle_gamma 90.00
_symmetry_space_group_name_H-M 'P 1'
_symmetry_Int_Tables_number 1
loop_
_symmetry_equiv_pos_as_xyz
'x,y,z'
loop_
_atom_site_label
_atom_site_fract_x
_atom_site_fract_y
_atom_site_fract_z
Ac1 0.0000 0.5000 0.6253
Ac2 0.5000 0.5000 0.2495
Ac3 0.5000 0.5000 0.7505
Ac4 0.5000 0.0000 0.3747
Ac5 0.0000 0.5000 0.8755
Ac6 0.5000 0.0000 0.6253
Ac7 0.0000 0.5000 0.1245
Ac8 0.5000 0.5000 0.5000
Ac9 0.5000 0.0000 0.8755
Ac10 0.5000 0.5000 0.0000
Ac11 0.5000 0.0000 0.1245
Ac12 0.0000 0.5000 0.3747
Nd1 0.0000 0.0000 0.5000
Nd2 0.0000 0.0000 0.7504
Nd3 0.0000 0.0000 0.2496
Pm1 0.0000 0.0000 0.0000
```

- SG: P4/mmm (123)

=====

no.,DFT total energy (eV per atom)
1,-4.577
2,-4.485
3,-4.264
4,-4.249